No. 1
{
  "formula": "Ta2SiP",
  "functional": "PBE",
  "state": "optimized geometry",
  "spacegroup": "P4mm, No. 99",
  "formation_energy_uncorrected_ev_per_atom": 0.107,
  "magmom_total_mub_per_atom": 0.00,
  "cell": [[2.8023, 0.0000, 0.0000], [0.0000, 2.8023, 0.0000], [0.0000, 0.0000, 8.6596]],
  "species": ["Ta", "Ta", "Si", "P"],
  "frac_coords": [[0.0000, 0.0000, 0.0000], [0.5000, 0.5000, 0.2730], [0.5000, 0.5000, 0.7730], [0.0000, 0.0000, 0.4862]]
}

***

No. 2
{
  "formula": "Ta2SiP",
  "functional": "PBE",
  "state": "optimized geometry",
  "spacegroup": "Fm-3m, No. 225",
  "formation_energy_uncorrected_ev_per_atom": -0.260,
  "magmom_total_mub_per_atom": 0.00,
  "cell": [[0.0000, 3.1366, 3.1366], [3.1366, 0.0000, 3.1366], [3.1366, 3.1366, 0.0000]],
  "species": ["Ta", "Ta", "Si", "P"],
  "frac_coords": [[0.2500, 0.2500, 0.2500], [0.7500, 0.7500, 0.7500], [0.0000, 0.0000, 0.0000], [0.5000, 0.5000, 0.5000]]
}

***

No. 3
{
  "formula": "Ta3SiP",
  "functional": "PBE",
  "state": "optimized geometry",
  "spacegroup": "Pm-3m, No. 221",
  "formation_energy_uncorrected_ev_per_atom": 0.583,
  "magmom_total_mub_per_atom": 0.00,
  "cell": [[4.5652, 0.0000, 0.0000], [0.0000, 4.5652, 0.0000], [0.0000, 0.0000, 4.5652]],
  "species": ["Ta", "Ta", "Ta", "Si", "P"],
  "frac_coords": [[0.0000, 0.0000, 0.5000], [0.0000, 0.5000, 0.0000], [0.5000, 0.0000, 0.0000], [0.5000, 0.5000, 0.5000], [0.0000, 0.0000, 0.0000]]
}

***

Copy entry 1 word for word.
{
  "formula": "Ta2SiP",
  "functional": "PBE",
  "state": "optimized geometry",
  "spacegroup": "P4mm, No. 99",
  "formation_energy_uncorrected_ev_per_atom": 0.107,
  "magmom_total_mub_per_atom": 0.00,
  "cell": [[2.8023, 0.0000, 0.0000], [0.0000, 2.8023, 0.0000], [0.0000, 0.0000, 8.6596]],
  "species": ["Ta", "Ta", "Si", "P"],
  "frac_coords": [[0.0000, 0.0000, 0.0000], [0.5000, 0.5000, 0.2730], [0.5000, 0.5000, 0.7730], [0.0000, 0.0000, 0.4862]]
}